The following is a DFT calculation (PBE+U) of crystalline Rb2PbW3O12 at its relaxed geometry.

The structure in POSCAR format:
```
Rb2PbW3O12
1.0
7.534 0.064 0.045
3.776 6.520 0.045
3.776 2.198 6.138
O W Rb Pb
12 3 2 1
Direct
0.303 0.936 0.303
0.077 0.652 0.077
0.652 0.077 0.077
0.923 0.348 0.923
0.077 0.077 0.652
0.064 0.697 0.697
0.923 0.923 0.348
0.697 0.697 0.064
0.348 0.923 0.923
0.697 0.064 0.697
0.303 0.303 0.936
0.936 0.303 0.303
0.000 0.500 0.000
0.000 0.000 0.500
0.500 0.000 0.000
0.632 0.632 0.632
0.368 0.368 0.368
0.000 0.000 0.000
```

## Properties
* Fermi-level density of states: 0.00 states/eV/cell
* SG: No. 166
* crystal system: trigonal
* final energy: -120.4 eV/f.u.